SrCr2TeO8: optimized geometry, PBE+U.

Lattice parameters (Å, degrees): 4.885 4.885 6.994 100.19 100.19 76.71
Sites, in units of the cell vectors:
Sr: 0.000 0.000 0.000
Cr: 0.443 0.443 0.775
Cr: 0.557 0.557 0.225
Te: 0.000 0.000 0.500
O: 0.203 0.753 0.287
O: 0.247 0.797 0.713
O: 0.253 0.253 0.542
O: 0.339 0.339 0.977
O: 0.661 0.661 0.023
O: 0.747 0.747 0.458
O: 0.753 0.203 0.287
O: 0.797 0.247 0.713

E_tot: -78.1 eV/cell